DFT (PBE+U) results for crystalline Zn2WO6 at its relaxed geometry.

## Properties
As for the crystal system: tetragonal. Its space group is P4_2/mnm, No. 136. The value obtained for the calculated total energy is -0.4164 Ry per atom. The calculation puts the total magnetic moment at 2.036 μB per formula unit.

Cell and atoms, written as POSCAR:
```
Zn2WO6
1.0
4.748 0.000 0.000
0.000 4.748 0.000
0.000 0.000 9.286
Zn W O
4 2 12
direct
0.000 0.000 0.165 Zn
0.000 0.000 0.835 Zn
0.500 0.500 0.335 Zn
0.500 0.500 0.665 Zn
0.000 0.000 0.500 W
0.500 0.500 0.000 W
0.194 0.194 0.345 O
0.194 0.194 0.655 O
0.207 0.207 0.000 O
0.293 0.707 0.500 O
0.306 0.694 0.155 O
0.306 0.694 0.845 O
0.694 0.306 0.155 O
0.694 0.306 0.845 O
0.707 0.293 0.500 O
0.793 0.793 0.000 O
0.806 0.806 0.345 O
0.806 0.806 0.655 O
```